Record 1
The following is a DFT calculation (GGA-PBE) of BaNp4Ni3S12 after structural relaxation.

Computed properties:
Volume = 22.266 Å³/atom
E_tot = -6.96 eV per atom
SG = Im-3, No. 204
N(E_F) = 41.0 states/eV per cell

abc: 8.332 8.332 8.332
angles: 109.47 109.47 109.47
Last column: magnetic moment on the atom in μB.
Fractional coordinates of all 20 atoms:
1 Ba 0.000 0.000 0.000  0.01
2 Np 0.500 0.000 0.000  3.23
3 Np 0.500 0.500 0.500  3.23
4 Np 0.000 0.500 0.000  3.23
5 Np 0.000 0.000 0.500  3.23
6 Ni 0.000 0.500 0.500  0.03
7 Ni 0.500 0.500 0.000  0.03
8 Ni 0.500 0.000 0.500  0.03
9 S 0.325 0.843 0.168  -0.10
10 S 0.675 0.157 0.832  -0.10
11 S 0.675 0.843 0.519  -0.10
12 S 0.832 0.675 0.157  -0.10
13 S 0.843 0.168 0.325  -0.10
14 S 0.157 0.481 0.325  -0.10
15 S 0.481 0.325 0.157  -0.10
16 S 0.157 0.832 0.675  -0.10
17 S 0.325 0.157 0.481  -0.10
18 S 0.168 0.325 0.843  -0.10
19 S 0.843 0.519 0.675  -0.10
20 S 0.519 0.675 0.843  -0.10


Record 2
The following is a DFT calculation (GGA-PBE) of Ca2ZrPb after structural relaxation.

Computed properties:
Volume = 29.830 Å³/atom
E_tot = -4.03 eV per atom
SG = R-3m, No. 166
N(E_F) = 3.8 states/eV per cell

abc: 11.448 11.448 11.448
angles: 17.57 17.57 17.57
Fractional coordinates of all 4 atoms:
1 Pb 0.250 0.250 0.250
2 Ca 0.000 0.000 0.000
3 Ca 0.500 0.500 0.500
4 Zr 0.750 0.750 0.750


Record 3
The following is a DFT calculation (GGA-PBE) of MoOs after structural relaxation.

Computed properties:
Volume = 16.881 Å³/atom
E_tot = -10.06 eV per atom
SG = P4_2/mnm, No. 136
N(E_F) = 6.0 states/eV per cell

abc: 5.249 5.249 4.902
angles: 90.00 90.00 90.00
Fractional coordinates of all 8 atoms:
1 Mo 0.314 0.686 0.000
2 Mo 0.814 0.814 0.500
3 Mo 0.186 0.186 0.500
4 Mo 0.686 0.314 0.000
5 Os 0.183 0.183 0.000
6 Os 0.683 0.317 0.500
7 Os 0.317 0.683 0.500
8 Os 0.817 0.817 0.000


Record 4
The following is a DFT calculation (GGA-PBE) of Sc2OsSe after structural relaxation.

Computed properties:
Volume = 21.498 Å³/atom
E_tot = -7.01 eV per atom
SG = R-3m, No. 166
N(E_F) = 3.4 states/eV per cell

abc: 9.185 9.185 9.185
angles: 20.85 20.85 20.85
Fractional coordinates of all 4 atoms:
1 Sc 0.904 0.904 0.904
2 Sc 0.096 0.096 0.096
3 Os 0.500 0.500 0.500
4 Se 0.000 0.000 0.000


Record 5
The following is a DFT calculation (GGA-PBE) of NaSbP2Se8 after structural relaxation.

Computed properties:
Volume = 26.781 Å³/atom
E_tot = -3.78 eV per atom
SG = R-3, No. 148
N(E_F) = 11.6 states/eV per cell

abc: 6.275 6.275 10.096
angles: 71.89 71.89 60.00
Fractional coordinates of all 12 atoms:
1 Na 0.500 0.500 0.500
2 Sb 0.000 0.000 0.000
3 P 0.249 0.249 0.253
4 P 0.751 0.751 0.747
5 Se 0.172 0.172 0.484
6 Se 0.592 0.321 0.183
7 Se 0.828 0.828 0.516
8 Se 0.903 0.592 0.183
9 Se 0.097 0.408 0.817
10 Se 0.321 0.903 0.183
11 Se 0.679 0.097 0.817
12 Se 0.408 0.679 0.817


Record 6
The following is a DFT calculation (GGA-PBE) of LaCd11Ge after structural relaxation.

Computed properties:
Volume = 23.115 Å³/atom
E_tot = -1.60 eV per atom
SG = C2/m, No. 12
N(E_F) = 5.3 states/eV per cell

abc: 5.960 7.659 7.778
angles: 81.17 67.47 66.38
Fractional coordinates of all 13 atoms:
1 La 0.000 0.000 0.000
2 Cd 0.284 0.213 0.212
3 Cd 0.716 0.787 0.788
4 Cd 0.504 0.787 0.212
5 Cd 0.496 0.213 0.788
6 Cd 0.359 0.646 0.648
7 Cd 0.641 0.354 0.352
8 Cd 0.993 0.354 0.648
9 Cd 0.007 0.646 0.352
10 Cd 0.000 0.500 0.000
11 Cd 0.500 0.000 0.500
12 Cd 0.000 0.000 0.500
13 Ge 0.500 0.500 0.000


Results for magnetization: 12.0; 0.0; 0.0; 0.0; 0.0; 0.0 (in μB/f.u., following the order of the records).